Density functional theory data (PBE) for a relaxed structure of KMgF3.

Output
Total magnetic moment: 0.000 μB/cell
Total energy: -3.38 eV per atom
Uncorrected formation energy: -1719 meV/atom

abc: 4.615 4.615 4.615
angles: 90.00 90.00 90.00
Sites, in units of the cell vectors:
K1 0.000 0.000 0.000
Mg1 0.500 0.500 0.500
F1 0.000 0.000 0.500
F2 0.000 0.500 0.000
F3 0.500 0.000 0.000

***

Density functional theory data (PBE) for a relaxed structure of K3MgF.

Output
Total magnetic moment: 0.000 μB/cell
Total energy: -2.26 eV per atom
Uncorrected formation energy: -906 meV/atom
Distance to the lowest polymorph of the same formula: 0 meV per atom

abc: 5.642 5.642 5.642
angles: 90.00 90.00 90.00
Sites, in units of the cell vectors:
K1 0.000 0.000 0.500
K2 0.000 0.500 0.000
K3 0.500 0.000 0.000
Mg1 0.500 0.500 0.500
F1 0.000 0.000 0.000

***

Density functional theory data (PBE) for a relaxed structure of KMgF3.

Output
Total magnetic moment: 0.000 μB/cell
Total energy: -4.78 eV per atom
Uncorrected formation energy: -3120 meV/atom

abc: 3.665 3.665 13.695
angles: 90.00 90.00 120.00
Sites, in units of the cell vectors:
K1 0.000 0.000 0.000
K2 0.000 0.000 0.500
Mg1 0.333 0.667 0.250
Mg2 0.667 0.333 0.750
F1 0.000 0.000 0.250
F2 0.000 0.000 0.750
F3 0.333 0.667 0.112
F4 0.333 0.667 0.388
F5 0.667 0.333 0.612
F6 0.667 0.333 0.888

***

Density functional theory data (PBE) for a relaxed structure of KMgF.

Output
Total magnetic moment: 0.000 μB/cell
Total energy: -3.16 eV per atom
Uncorrected formation energy: -1635 meV/atom

abc: 3.545 3.545 6.020
angles: 90.00 90.00 90.00
Sites, in units of the cell vectors:
K1 0.000 0.000 0.000
Mg1 0.500 0.500 0.506
F1 0.500 0.500 0.834

***

Density functional theory data (PBE) for a relaxed structure of KMgF2.

Output
Total magnetic moment: 0.456 μB/cell
Total energy: -3.50 eV per atom
Uncorrected formation energy: -1887 meV/atom
Distance to the lowest polymorph of the same formula: 561 meV per atom

abc: 4.562 4.562 4.562
angles: 60.00 60.00 60.00
Sites, in units of the cell vectors:
K1 0.000 0.000 0.000
Mg1 0.500 0.500 0.500
F1 0.250 0.250 0.250
F2 0.750 0.750 0.750

***

Density functional theory data (PBE) for a relaxed structure of K3Mg2F6.

Output
Total magnetic moment: 0.712 μB/cell
Total energy: -4.50 eV per atom
Uncorrected formation energy: -2889 meV/atom

abc: 11.447 11.447 11.447
angles: 159.63 159.63 28.96
Sites, in units of the cell vectors:
K1 0.000 0.000 0.000
K2 0.188 0.188 0.000
K3 0.812 0.812 0.000
Mg1 0.398 0.398 0.000
Mg2 0.602 0.602 0.000
F1 0.099 0.599 0.500
F2 0.308 0.308 0.000
F3 0.401 0.901 0.500
F4 0.599 0.099 0.500
F5 0.692 0.692 0.000
F6 0.901 0.401 0.500

***

Density functional theory data (PBE) for a relaxed structure of KMgF2.

Output
Total magnetic moment: 0.000 μB/cell
Total energy: -4.06 eV per atom
Uncorrected formation energy: -2447 meV/atom
Distance to the lowest polymorph of the same formula: 0 meV per atom

abc: 7.129 7.129 7.129
angles: 31.01 31.01 31.01
Sites, in units of the cell vectors:
K1 0.000 0.000 0.000
Mg1 0.500 0.500 0.500
F1 0.407 0.407 0.407
F2 0.593 0.593 0.593

***

Density functional theory data (PBE) for a relaxed structure of KMgF3.

Output
Total magnetic moment: 0.000 μB/cell
Total energy: -4.50 eV per atom
Uncorrected formation energy: -2835 meV/atom

abc: 6.796 6.796 6.796
angles: 134.53 134.53 66.26
Sites, in units of the cell vectors:
K1 0.131 0.131 0.000
K2 0.869 0.869 0.000
Mg1 0.500 0.500 0.000
Mg2 0.750 0.250 0.500
F1 0.061 0.561 0.500
F2 0.122 0.355 0.767
F3 0.439 0.939 0.500
F4 0.588 0.355 0.233
F5 0.645 0.412 0.767
F6 0.645 0.878 0.233

***

Density functional theory data (PBE) for a relaxed structure of K4Mg3F10.

Output
Total magnetic moment: 0.012 μB/cell
Total energy: -4.87 eV per atom
Uncorrected formation energy: -3234 meV/atom

abc: 15.012 15.012 15.012
angles: 164.52 164.52 21.96
Sites, in units of the cell vectors:
K1 0.069 0.069 0.000
K2 0.204 0.204 0.000
K3 0.796 0.796 0.000
K4 0.931 0.931 0.000
Mg1 0.362 0.362 0.000
Mg2 0.500 0.500 0.000
Mg3 0.638 0.638 0.000
F1 0.000 0.500 0.500
F2 0.137 0.637 0.500
F3 0.294 0.294 0.000
F4 0.363 0.863 0.500
F5 0.431 0.431 0.000
F6 0.500 0.000 0.500
F7 0.569 0.569 0.000
F8 0.637 0.137 0.500
F9 0.706 0.706 0.000
F10 0.863 0.363 0.500

***

Density functional theory data (PBE) for a relaxed structure of KMgF3.

Output
Total magnetic moment: 0.111 μB/cell
Total energy: -3.85 eV per atom
Uncorrected formation energy: -2188 meV/atom

abc: 10.746 10.746 10.746
angles: 157.65 157.65 31.82
Sites, in units of the cell vectors:
K1 0.000 0.000 0.000
K2 0.750 0.250 0.500
Mg1 0.138 0.638 0.500
Mg2 0.362 0.862 0.500
F1 0.316 0.316 0.000
F2 0.361 0.113 0.248
F3 0.684 0.684 0.000
F4 0.865 0.113 0.752
F5 0.887 0.135 0.248
F6 0.887 0.639 0.752

***

Density functional theory data (PBE) for a relaxed structure of K3Mg2F9.

Output
Total magnetic moment: 2.049 μB/cell
Total energy: -4.34 eV per atom
Uncorrected formation energy: -2678 meV/atom

abc: 5.711 5.711 7.680
angles: 90.00 90.00 120.00
Sites, in units of the cell vectors:
K1 0.000 0.000 0.000
K2 0.333 0.667 0.367
K3 0.667 0.333 0.633
Mg1 0.333 0.667 0.860
Mg2 0.667 0.333 0.140
F1 0.000 0.500 0.000
F2 0.181 0.361 0.689
F3 0.181 0.819 0.689
F4 0.361 0.181 0.311
F5 0.500 0.000 0.000
F6 0.500 0.500 0.000
F7 0.639 0.819 0.689
F8 0.819 0.181 0.311
F9 0.819 0.639 0.311

***

Density functional theory data (PBE) for a relaxed structure of K3MgF7.

Output
Total magnetic moment: 2.098 μB/cell
Total energy: -4.09 eV per atom
Uncorrected formation energy: -2450 meV/atom

abc: 6.352 6.352 6.261
angles: 115.77 115.77 93.74
Sites, in units of the cell vectors:
K1 0.000 0.000 0.000
K2 0.263 0.713 0.535
K3 0.713 0.263 0.535
Mg1 0.547 0.547 0.103
F1 0.185 0.493 0.789
F2 0.349 0.808 0.170
F3 0.386 0.386 0.227
F4 0.493 0.185 0.789
F5 0.669 0.669 0.922
F6 0.808 0.349 0.170
F7 0.819 0.819 0.477